DFT (GGA-PBE) results for crystalline MgH8Pd6 at its relaxed geometry.

CIF file:
```
data_MgH8Pd6
_chemical_formula_sum 'Mg3 H24 Pd18'
_space_group_name_H-M_alt 'R -3'
_space_group_IT_number 148
_space_group_name_Hall '-R 3'
_cell_length_a 5.1114
_cell_length_b 5.1114
_cell_length_c 21.2949
_cell_angle_alpha 90.00
_cell_angle_beta 90.00
_cell_angle_gamma 120.00
loop_
_atom_site_label
_atom_site_type_symbol
_atom_site_fract_x
_atom_site_fract_y
_atom_site_fract_z
Mg1 Mg 0.0000 0.0000 0.0000
H1 H 0.0000 0.0000 0.3934
H2 H 0.0022 0.6510 0.4562
Pd1 Pd 0.0046 0.6781 0.5677
```

Results
Polymorph energy (0 for the lowest one)   0.7 kJ per mole of atoms
Crystal system   trigonal
Total DFT energy (no corrections)   -4.05 eV per atom